[1]
# SiAsRuC2

Crystalline SiAsRuC2 at its relaxed geometry (PBE, Alexandria).

As for the density of states at the Fermi level: 3.206 states/eV/cell. The formation energy from raw total energies is 1415 meV/atom. The calculation puts the calculated density at 4.902 g/cm³. The value obtained for the volume is 77 Å³/cell.

Cell: 3.8538 3.8538 5.2029 Å, 90.00 90.00 90.00°
Last column: nearest neighbours and their distance in Å.
Space group P4/mmm (No. 123)
Asymmetric unit:
Si: 0.0000 0.0000 0.0000  2 Ru 2.60, 4 As 2.73
As: 0.5000 0.5000 0.0000  4 Si 2.73
Ru: 0.0000 0.0000 0.5000  4 C 1.93
C: 0.0000 0.5000 0.5000  2 Ru 1.93



[2]
# SmAsRu2C

Crystalline SmAsRu2C at its relaxed geometry (PBE, Alexandria).

As for the density of states at the Fermi level: 9.759 states/eV/cell. The energy of formation from the pure elements is -536 meV/atom. The calculation puts the calculated density at 9.036 g/cm³. The value obtained for the volume is 323 Å³/cell.

Cell: 3.9600 11.1461 7.3186 Å, 90.00 90.00 90.00°
Last column: nearest neighbours and their distance in Å.
Space group Cmcm (No. 63)
Asymmetric unit:
Sm: 0.0000 0.0459 0.2500  4 C 2.74
As: 0.0000 0.2304 0.7500  6 Ru 2.52-2.56
Ru: 0.0000 0.3370 0.0535  1 C 1.86
C: 0.0000 0.5000 0.0000  2 Ru 1.86



[3]
# TeAsRu2C

Crystalline TeAsRu2C at its relaxed geometry (PBE, Alexandria).

As for the density of states at the Fermi level: 4.903 states/eV/cell. The formation energy from raw total energies is 2782 meV/atom. The calculation puts the calculated density at 5.488 g/cm³. The value obtained for the volume is 126 Å³/cell.

Cell: 4.8587 4.8587 5.3405 Å, 90.00 90.00 90.00°
Last column: nearest neighbours and their distance in Å.
Space group P4/mmm (No. 123)
Asymmetric unit:
Te: 0.0000 0.0000 0.0000  4 Ru 2.43, 2 As 2.67
As: 0.0000 0.0000 0.5000  2 Te 2.67
Ru: 0.0000 0.5000 0.0000  2 Te 2.43
C: 0.5000 0.5000 0.5000  4 As 3.44, 8 Ru 3.61



[4]
# ThAsRu2C

Crystalline ThAsRu2C at its relaxed geometry (PBE, Alexandria).

As for the density of states at the Fermi level: 10.854 states/eV/cell. The energy of formation from the pure elements is -524 meV/atom. The calculation puts the calculated density at 10.466 g/cm³. The value obtained for the volume is 331 Å³/cell.

Cell: 3.9806 11.3618 7.3123 Å, 90.00 90.00 90.00°
Last column: nearest neighbours and their distance in Å.
Space group Cmcm (No. 63)
Asymmetric unit:
Th: 0.0000 0.0503 0.2500  4 C 2.76
As: 0.0000 0.2285 0.7500  6 Ru 2.54-2.57
Ru: 0.0000 0.3381 0.0521  1 C 1.88
C: 0.0000 0.5000 0.0000  2 Ru 1.88



[5]
# VAs2RuC

Crystalline VAs2RuC at its relaxed geometry (PBE, Alexandria).

As for the density of states at the Fermi level: 8.499 states/eV/cell. The energy of formation from the pure elements is 1158 meV/atom. The calculation puts the calculated density at 5.795 g/cm³. The value obtained for the volume is 90 Å³/cell.

Cell: 4.9206 4.9206 3.7145 Å, 90.00 90.00 90.00°
Last column: nearest neighbours and their distance in Å.
Space group P4/mmm (No. 123)
Asymmetric unit:
V: 0.0000 0.0000 0.0000  8 As 3.08
As: 0.0000 0.5000 0.5000  2 Ru 2.46
Ru: 0.5000 0.5000 0.5000  2 C 1.86
C: 0.5000 0.5000 0.0000  2 Ru 1.86



[6]
# Zr2AsRuC

Crystalline Zr2AsRuC at its relaxed geometry (PBE, Alexandria).

As for the density of states at the Fermi level: 5.583 states/eV/cell. The energy of formation from the pure elements is 1435 meV/atom. The calculation puts the calculated density at 5.616 g/cm³. The value obtained for the volume is 110 Å³/cell.

Cell: 4.9919 4.9919 4.3957 Å, 90.00 90.00 90.00°
Last column: nearest neighbours and their distance in Å.
Space group P4/mmm (No. 123)
Asymmetric unit:
Zr: 0.0000 0.5000 0.0000  2 As 2.50
As: 0.0000 0.0000 0.0000  2 Ru 2.20
Ru: 0.0000 0.0000 0.5000  2 As 2.20
C: 0.5000 0.5000 0.5000  8 Zr 3.33, 4 Ru 3.53



What did the fifth record say?
# VAs2RuC

Crystalline VAs2RuC at its relaxed geometry (PBE, Alexandria).

As for the density of states at the Fermi level: 8.499 states/eV/cell. The energy of formation from the pure elements is 1158 meV/atom. The calculation puts the calculated density at 5.795 g/cm³. The value obtained for the volume is 90 Å³/cell.

Cell: 4.9206 4.9206 3.7145 Å, 90.00 90.00 90.00°
Last column: nearest neighbours and their distance in Å.
Space group P4/mmm (No. 123)
Asymmetric unit:
V: 0.0000 0.0000 0.0000  8 As 3.08
As: 0.0000 0.5000 0.5000  2 Ru 2.46
Ru: 0.5000 0.5000 0.5000  2 C 1.86
C: 0.5000 0.5000 0.0000  2 Ru 1.86



What did the fourth record say?
# ThAsRu2C

Crystalline ThAsRu2C at its relaxed geometry (PBE, Alexandria).

As for the density of states at the Fermi level: 10.854 states/eV/cell. The energy of formation from the pure elements is -524 meV/atom. The calculation puts the calculated density at 10.466 g/cm³. The value obtained for the volume is 331 Å³/cell.

Cell: 3.9806 11.3618 7.3123 Å, 90.00 90.00 90.00°
Last column: nearest neighbours and their distance in Å.
Space group Cmcm (No. 63)
Asymmetric unit:
Th: 0.0000 0.0503 0.2500  4 C 2.76
As: 0.0000 0.2285 0.7500  6 Ru 2.54-2.57
Ru: 0.0000 0.3381 0.0521  1 C 1.88
C: 0.0000 0.5000 0.0000  2 Ru 1.88